DFT (PBE-GGA) results for crystalline MgCo2Br2 at its relaxed geometry.

Cell lengths 7.463, 7.463, 3.260 Å; angles 90.00, 90.00, 90.00 degrees
Last column: magnetic moment on the atom in μB.
Fractional positions:
1 Br 0.152 0.348 0.000  0.06
2 Co 0.323 0.177 0.500  1.34
3 Co 0.677 0.823 0.500  1.33
4 Br 0.848 0.652 0.000  0.06
5 Mg 0.500 0.500 0.000  -0.02
6 Mg 0.000 0.000 0.000  -0.02
7 Co 0.823 0.323 0.500  1.32
8 Br 0.348 0.848 0.000  0.06
9 Co 0.177 0.677 0.500  1.32
10 Br 0.652 0.152 0.000  0.06

Summary:
Symmetry: P4/mbm
Calculated total energy (eV/atom): -3.267

DFT (PBE-GGA) results for crystalline Mg2CoBr at its relaxed geometry.

Cell lengths 4.809, 4.809, 4.809 Å; angles 60.00, 60.00, 60.00 degrees
Last column: magnetic moment on the atom in μB.
Fractional positions:
1 Mg 0.750 0.750 0.750  -0.02
2 Co 0.000 0.000 0.000  1.33
3 Br 0.500 0.500 0.500  0.02
4 Mg 0.250 0.250 0.250  -0.02

Summary:
Symmetry: Fm-3m
Calculated total energy (eV/atom): -2.640

In order of appearance, total magnetization = 0.513 0.279 μB/atom.
In order of appearance, ΔE to the lowest computed polymorph = 46.75 49.33 kJ per mole of atoms.